Record 1
Compound: PrTh2
Source: the Alexandria database
Functional: GGA-PBE
Structure: optimized geometry

Geometry as extended XYZ:
```
6
Lattice="6.694 0.000 0.000 3.347 5.797 0.000 3.347 1.932 5.466" Properties=species:S:1:pos:R:3 pbc="T T T"
Th 6.694 3.865 0.683
Th 8.367 4.831 3.416
Th 6.694 1.932 3.416
Th 5.020 4.831 3.416
Pr 0.000 0.000 0.000
Pr 3.347 1.932 1.366
```

Results
electronic total energy	-6.29	eV per atom
energy of formation	0.25	eV/atom

Record 2
Compound: PrTh2
Source: the Alexandria database
Functional: GGA-PBE
Structure: optimized geometry

Geometry as extended XYZ:
```
6
Lattice="3.427 -0.959 -0.516 -1.848 6.725 0.278 -0.311 0.480 9.581" Properties=species:S:1:pos:R:3 pbc="T T T"
Pr -0.067 5.043 8.979
Pr 1.335 1.202 0.364
Th 2.248 1.202 6.437
Th 0.088 1.681 3.728
Th -0.981 5.043 2.906
Th 1.179 4.564 5.615
```

Results
electronic total energy	-6.47	eV per atom
energy of formation	0.07	eV/atom